No. 1
CdTcPd3 | GGA-PBE | optimized geometry

ΔH_f (0 K) ... 0.99 eV/atom
DOS(E_F) ... 7.1 states/eV per cell
V ... 22.14 Å³/atom
M_tot ... 0.0 μB per formula unit
Uncorrected energy ... -21.89 eV per cell

a b c (Å): 4.801 4.801 4.801
angles (deg): 90.00 90.00 90.00
Space group Pm-3m (No. 221)
Symmetry-distinct sites (fractional):
Cd (0.000, 0.000, 0.000)
Tc (0.500, 0.500, 0.500)
Pd (0.000, 0.500, 0.500)

No. 2
ZnCr2In | GGA-PBE | optimized geometry

ΔH_f (0 K) ... 0.20 eV/atom
DOS(E_F) ... 2.0 states/eV per cell
V ... 15.63 Å³/atom
M_tot ... 0.1 μB per formula unit
Uncorrected energy ... -22.45 eV per cell

a b c (Å): 3.079 3.079 6.593
angles (deg): 90.00 90.00 90.00
Space group P4mm (No. 99)
Symmetry-distinct sites (fractional):
Zn (0.000, 0.000, 0.000)
Cr (0.000, 0.000, 0.405)
Cr (0.500, 0.500, 0.233)
In (0.500, 0.500, 0.691)

No. 3
Sm3HoZn | GGA-PBE | optimized geometry

ΔH_f (0 K) ... 0.06 eV/atom
DOS(E_F) ... 31.8 states/eV per cell
V ... 31.75 Å³/atom
M_tot ... 0.0 μB per formula unit
Uncorrected energy ... -78.74 eV per cell

a b c (Å): 11.909 8.849 7.880
angles (deg): 90.00 130.13 90.00
Space group C2/m (No. 12)
Symmetry-distinct sites (fractional):
Sm (0.051, 0.000, 0.320)
Sm (0.216, 0.307, 0.746)
Ho (0.069, 0.500, 0.268)
Zn (0.238, 0.500, 0.106)

No. 4
PHRuS | GGA-PBE | optimized geometry

DOS(E_F) ... 2.1 states/eV per cell
V ... 15.31 Å³/atom
M_tot ... 0.0 μB per formula unit
Uncorrected energy ... -45.29 eV per cell

a b c (Å): 2.843 3.204 13.444
angles (deg): 90.00 90.00 90.00
Space group Amm2 (No. 38)
Symmetry-distinct sites (fractional):
P (0.000, 0.000, 0.000)
H (0.000, 0.000, 0.106)
Ru (0.500, 0.000, 0.417)
S (0.500, 0.000, 0.790)

No. 5
Cd4GaAg4 | GGA-PBE | optimized geometry

ΔH_f (0 K) ... -0.01 eV/atom
DOS(E_F) ... 4.0 states/eV per cell
V ... 19.34 Å³/atom
M_tot ... 0.0 μB per formula unit
Uncorrected energy ... -36.44 eV per cell

a b c (Å): 9.079 9.079 4.224
angles (deg): 90.00 90.00 90.00
Space group I4/mmm (No. 139)
Symmetry-distinct sites (fractional):
Cd (0.000, 0.325, 0.000)
Ga (0.000, 0.000, 0.000)
Ag (0.164, 0.164, 0.500)

No. 6
Mg2Cu3Pt3 | GGA-PBE | optimized geometry

ΔH_f (0 K) ... -0.48 eV/atom
DOS(E_F) ... 2.3 states/eV per cell
V ... 14.45 Å³/atom
M_tot ... 0.0 μB per formula unit
Uncorrected energy ... -37.46 eV per cell

a b c (Å): 3.919 3.974 7.421
angles (deg): 90.00 90.00 90.00
Space group Pmmm (No. 47)
Symmetry-distinct sites (fractional):
Mg (0.000, 0.000, 0.250)
Cu (0.000, 0.500, 0.000)
Cu (0.500, 0.500, 0.245)
Pt (0.000, 0.500, 0.500)
Pt (0.500, 0.000, 0.000)
Pt (0.500, 0.000, 0.500)

No. 7
HgSb2Te | GGA-PBE | optimized geometry

DOS(E_F) ... 14.1 states/eV per cell
V ... 27.17 Å³/atom
Formation energy (no corrections) ... 262.6 meV/atom
M_tot ... 0.0 μB per formula unit
Uncorrected energy ... -42.55 eV per cell

a b c (Å): 7.576 7.576 7.576
angles (deg): 90.00 90.00 90.00
Space group Fm-3m (No. 225)
Symmetry-distinct sites (fractional):
Hg (0.000, 0.000, 0.000)
Sb (0.250, 0.250, 0.250)
Te (0.000, 0.000, 0.500)

No. 8
HfGe2S4 | GGA-PBE | optimized geometry

DOS(E_F) ... 0.7 states/eV per cell
V ... 23.54 Å³/atom
Formation energy (no corrections) ... -463.9 meV/atom
M_tot ... 0.0 μB per formula unit
Uncorrected energy ... -77.89 eV per cell

a b c (Å): 5.111 5.111 12.616
angles (deg): 90.00 90.00 90.00
Space group I4/mmm (No. 139)
Symmetry-distinct sites (fractional):
Hf (0.000, 0.000, 0.000)
Ge (0.000, 0.000, 0.374)
S (0.000, 0.000, 0.196)
S (0.000, 0.500, 0.000)

No. 9
Li4Tm3ThTe8 | GGA-PBE | optimized geometry

DOS(E_F) ... 12.1 states/eV per cell
V ... 28.45 Å³/atom
Formation energy (no corrections) ... -1216.4 meV/atom
M_tot ... 0.0 μB per formula unit
Uncorrected energy ... -219.26 eV per cell

a b c (Å): 8.6136 8.6136 21.2508
angles (deg): 90.00 90.00 120.00
Space group R-3m (No. 166, hexagonal axes)
Symmetry-distinct sites (fractional):
Li (0.0000, 0.0000, 0.0000)
Li (0.0000, 0.5000, 0.0000)
Tm (0.0000, 0.5000, 0.5000)
Th (0.0000, 0.0000, 0.5000)
Te (0.0000, 0.0000, 0.2508)
Te (0.0074, 0.5037, 0.7470)

No. 10
BaZrHg2 | GGA-PBE | optimized geometry

ΔH_f (0 K) ... 0.01 eV/atom
DOS(E_F) ... 11.3 states/eV per cell
V ... 29.65 Å³/atom
M_tot ... 0.0 μB per formula unit
Uncorrected energy ... -33.16 eV per cell

a b c (Å): 3.7687 3.7687 28.9249
angles (deg): 90.00 90.00 120.00
Space group R-3m (No. 166, hexagonal axes)
Symmetry-distinct sites (fractional):
Ba (0.0000, 0.0000, 0.0000)
Zr (0.0000, 0.0000, 0.5000)
Hg (0.0000, 0.0000, 0.2372)

No. 11
NaPaI2F6 | GGA-PBE | optimized geometry

DOS(E_F) ... 0.0 states/eV per cell
V ... 22.17 Å³/atom
Formation energy (no corrections) ... -2746.4 meV/atom
M_tot ... 0.0 μB per formula unit
Uncorrected energy ... -52.61 eV per cell

a b c (Å): 6.403 6.422 6.678
angles (deg): 64.60 64.71 86.56
Space group P-1 (No. 2)
Symmetry-distinct sites (fractional):
Na (0.000, 0.000, 0.000)
Pa (0.500, 0.500, 0.000)
I (0.154, 0.846, 0.500)
F (0.256, 0.741, 0.002)
F (0.288, 0.287, 0.964)
F (0.362, 0.357, 0.387)

No. 12
Ti2Zn2Re | GGA-PBE | optimized geometry

ΔH_f (0 K) ... -0.01 eV/atom
DOS(E_F) ... 10.9 states/eV per cell
V ... 15.20 Å³/atom
M_tot ... 0.0 μB per formula unit
Uncorrected energy ... -61.66 eV per cell

a b c (Å): 6.784 6.784 3.303
angles (deg): 90.00 90.00 90.00
Space group P4/mbm (No. 127)
Symmetry-distinct sites (fractional):
Ti (0.182, 0.318, 0.000)
Zn (0.123, 0.623, 0.500)
Re (0.000, 0.000, 0.500)